[1]
# NdLuAlTl, optimized geometry, DFT GGA-PBE
# **DOS at the Fermi energy**: 1.04 states/eV per cell
# **Raw total energy**: -16.6 eV/cell
data_NdLuAlTl
_cell_length_a 5.284
_cell_length_b 5.284
_cell_length_c 5.284
_cell_angle_alpha 60.00
_cell_angle_beta 60.00
_cell_angle_gamma 60.00
_symmetry_space_group_name_H-M 'P 1'
_symmetry_Int_Tables_number 1
loop_
_symmetry_equiv_pos_as_xyz
'x,y,z'
loop_
_atom_site_label
_atom_site_fract_x
_atom_site_fract_y
_atom_site_fract_z
Al1 0.500 0.500 0.500
Nd1 0.750 0.750 0.750
Tl1 0.000 0.000 0.000
Lu1 0.250 0.250 0.250



[2]
# LuAl2Ni, optimized geometry, DFT GGA-PBE
# **DOS at the Fermi energy**: 3.23 states/eV per cell
# **Raw total energy**: -19.6 eV/cell
data_LuAl2Ni
_cell_length_a 4.096
_cell_length_b 4.096
_cell_length_c 5.518
_cell_angle_alpha 68.22
_cell_angle_beta 68.22
_cell_angle_gamma 60.00
_symmetry_space_group_name_H-M 'P 1'
_symmetry_Int_Tables_number 1
loop_
_symmetry_equiv_pos_as_xyz
'x,y,z'
loop_
_atom_site_label
_atom_site_fract_x
_atom_site_fract_y
_atom_site_fract_z
Lu1 0.500 0.500 0.500
Al1 0.709 0.709 0.874
Al2 0.291 0.291 0.126
Ni1 0.000 0.000 0.000